A geometry-optimized LaCoSi2 structure. Source: the Open Quantum Materials Database, functional PBE-GGA.

Unit cell a=4.0952 b=8.5674 c=8.5674 alpha=28.49 beta=90.00 gamma=90.00
Closest atoms and distances in Å follow each position.
Sites, in units of the cell vectors:
La 0.5000 0.8915 0.8915  10 Si 3.12-3.28, 4 Co 3.18
Co 0.5000 0.6810 0.6810  5 Si 2.29-2.40
Si 0.5000 0.5430 0.5430  1 Co 2.29, 2 Si 2.50
Si 0.0000 0.7499 0.7499  4 Co 2.35-2.40
La 0.0000 0.1085 0.1085  10 Si 3.12-3.28, 4 Co 3.18
Si 0.5000 0.2500 0.2500  4 Co 2.35-2.40
Co 0.0000 0.3190 0.3190  5 Si 2.29-2.40
Si 0.0000 0.4570 0.4570  1 Co 2.29, 2 Si 2.50

## Properties
Volume ... 143 Å³/cell
VASP energy ... -6.459 eV per atom
Theoretical density ... 5.883 g cm⁻³